No. 1
Crystalline Zr2ReAg at its relaxed geometry. Source: the Alexandria database, functional PBE.

a = 3.5033 Å, b = 3.5033 Å, c = 6.2423 Å
α = 90.00°, β = 90.00°, γ = 90.00°
Last column: nearest neighbours and their distance in Å.
Sites, in units of the cell vectors:
Zr (0.0000, 0.0000, 0.0000)  4 Re 2.80, 1 Ag 2.92, 4 Zr 3.08
Zr (0.5000, 0.5000, 0.2921)  4 Ag 2.90, 4 Zr 3.08, 2 Re 3.10-3.14
Re (0.5000, 0.5000, 0.7895)  6 Zr 2.80-3.14, 4 Ag 2.95
Ag (0.0000, 0.0000, 0.5325)  5 Zr 2.90-2.92, 4 Re 2.95

Space-group type: No. 99
Volume: 19.15 Å³ per atom
Excess energy over the best structure of this formula in the dataset: 372.4 meV/atom



No. 2
Crystalline ZrReAg3 at its relaxed geometry. Source: the Alexandria database, functional PBE.

a = 4.9371 Å, b = 4.9371 Å, c = 4.9371 Å
α = 90.00°, β = 90.00°, γ = 90.00°
Last column: nearest neighbours and their distance in Å.
Sites, in units of the cell vectors:
Zr (0.0000, 0.0000, 0.0000)  12 Ag 3.49
Re (0.5000, 0.5000, 0.5000)  6 Ag 2.47
Ag (0.0000, 0.5000, 0.5000)  2 Re 2.47
Ag (0.5000, 0.0000, 0.5000)  2 Re 2.47
Ag (0.5000, 0.5000, 0.0000)  2 Re 2.47

Space-group type: No. 221
Volume: 24.07 Å³ per atom
Excess energy over the best structure of this formula in the dataset: 0.0 meV/atom



No. 3
Crystalline Zr2ReAg at its relaxed geometry. Source: the Alexandria database, functional PBE.

a = 3.4403 Å, b = 4.8877 Å, c = 9.1611 Å
α = 90.00°, β = 90.00°, γ = 90.00°
Last column: nearest neighbours and their distance in Å.
Sites, in units of the cell vectors:
Zr (0.0000, 0.0000, 0.2324)  2 Re 2.74, 4 Zr 2.99, 2 Ag 3.00
Zr (0.0000, 0.0000, 0.7676)  2 Re 2.74, 4 Zr 2.99, 2 Ag 3.00
Zr (0.5000, 0.5000, 0.2324)  2 Re 2.74, 4 Zr 2.99, 2 Ag 3.00
Zr (0.5000, 0.5000, 0.7676)  2 Re 2.74, 4 Zr 2.99, 2 Ag 3.00
Re (0.0000, 0.5000, 0.0000)  4 Zr 2.74, 4 Re 2.99
Re (0.5000, 0.0000, 0.0000)  4 Zr 2.74, 4 Re 2.99
Ag (0.0000, 0.5000, 0.5000)  4 Ag 2.99, 4 Zr 3.00
Ag (0.5000, 0.0000, 0.5000)  4 Ag 2.99, 4 Zr 3.00

Space-group type: No. 65
Volume: 19.26 Å³ per atom
Excess energy over the best structure of this formula in the dataset: 159.4 meV/atom



No. 4
Crystalline Zr2ReAg at its relaxed geometry. Source: the Alexandria database, functional PBE.

a = 2.8385 Å, b = 2.8385 Å, c = 9.4435 Å
α = 90.00°, β = 90.00°, γ = 90.00°
Last column: nearest neighbours and their distance in Å.
Sites, in units of the cell vectors:
Zr (0.0000, 0.0000, 0.0000)  4 Zr 2.84, 4 Re 3.05
Zr (0.5000, 0.5000, 0.2805)  4 Zr 2.84, 4 Ag 3.12
Re (0.5000, 0.5000, 0.7574)  4 Re 2.84, 4 Ag 2.92, 4 Zr 3.05
Ag (0.0000, 0.0000, 0.5335)  4 Ag 2.84, 4 Re 2.92, 4 Zr 3.12

Space-group type: No. 99
Volume: 19.02 Å³ per atom
Excess energy over the best structure of this formula in the dataset: 504.1 meV/atom



No. 5
Crystalline ZrReAg4 at its relaxed geometry. Source: the Alexandria database, functional PBE.

a = 5.3535 Å, b = 5.3535 Å, c = 5.3535 Å
α = 60.00°, β = 60.00°, γ = 60.00°
Last column: nearest neighbours and their distance in Å.
Sites, in units of the cell vectors:
Zr (0.0000, 0.0000, 0.0000)  12 Ag 3.14, 4 Re 3.28
Re (0.2500, 0.2500, 0.2500)  12 Ag 3.14, 4 Zr 3.28
Ag (0.1254, 0.6249, 0.6249)  6 Ag 2.67-2.68
Ag (0.6249, 0.1254, 0.6249)  6 Ag 2.67-2.68
Ag (0.6249, 0.6249, 0.1254)  6 Ag 2.67-2.68
Ag (0.6249, 0.6249, 0.6249)  6 Ag 2.67-2.68

Space-group type: No. 216
Volume: 18.08 Å³ per atom



No. 6
Crystalline Zr2ReAg2 at its relaxed geometry. Source: the Alexandria database, functional PBE.

a = 3.9205 Å, b = 3.9205 Å, c = 13.1229 Å
α = 90.00°, β = 90.00°, γ = 90.00°
Last column: nearest neighbours and their distance in Å.
Sites, in units of the cell vectors:
Zr (0.0000, 0.5000, 0.2500)  4 Zr 2.77, 4 Ag 2.83
Zr (0.0000, 0.5000, 0.7500)  4 Zr 2.77, 4 Ag 2.83
Zr (0.5000, 0.0000, 0.2500)  4 Zr 2.77, 4 Ag 2.83
Zr (0.5000, 0.0000, 0.7500)  4 Zr 2.77, 4 Ag 2.83
Re (0.0000, 0.0000, 0.0000)  8 Ag 3.03
Re (0.5000, 0.5000, 0.5000)  8 Ag 3.03
Ag (0.0000, 0.0000, 0.4059)  1 Ag 2.47
Ag (0.0000, 0.0000, 0.5941)  1 Ag 2.47
Ag (0.5000, 0.5000, 0.0941)  1 Ag 2.47
Ag (0.5000, 0.5000, 0.9059)  1 Ag 2.47

Space-group type: No. 139
Volume: 20.17 Å³ per atom
Excess energy over the best structure of this formula in the dataset: 694.5 meV/atom



No. 7
Crystalline Ag4Rh at its relaxed geometry. Source: the Alexandria database, functional PBE.

a = 2.8206 Å, b = 4.1737 Å, c = 14.4606 Å
α = 90.00°, β = 90.00°, γ = 90.00°
Last column: nearest neighbours and their distance in Å.
Sites, in units of the cell vectors:
Ag (0.0000, 0.0000, 0.0975)  8 Ag 2.82-2.95, 4 Rh 2.89
Ag (0.0000, 0.0000, 0.3017)  11 Ag 2.82-2.95, 1 Rh 2.87
Ag (0.0000, 0.0000, 0.6983)  11 Ag 2.82-2.95, 1 Rh 2.87
Ag (0.0000, 0.0000, 0.9025)  8 Ag 2.82-2.95, 4 Rh 2.89
Ag (0.5000, 0.5000, 0.1983)  11 Ag 2.82-2.95, 1 Rh 2.87
Ag (0.5000, 0.5000, 0.4025)  8 Ag 2.82-2.95, 4 Rh 2.89
Ag (0.5000, 0.5000, 0.5975)  8 Ag 2.82-2.95, 4 Rh 2.89
Ag (0.5000, 0.5000, 0.8017)  11 Ag 2.82-2.95, 1 Rh 2.87
Rh (0.0000, 0.0000, 0.5000)  2 Rh 2.82, 10 Ag 2.87-2.89
Rh (0.5000, 0.5000, 0.0000)  2 Rh 2.82, 10 Ag 2.87-2.89

Space-group type: No. 71
Volume: 17.02 Å³ per atom
Excess energy over the best structure of this formula in the dataset: 14.1 meV/atom



No. 8
Crystalline AgRh5 at its relaxed geometry. Source: the Alexandria database, functional PBE.

a = 5.1174 Å, b = 5.1174 Å, c = 5.1174 Å
α = 60.00°, β = 60.00°, γ = 60.00°
Last column: nearest neighbours and their distance in Å.
Sites, in units of the cell vectors:
Ag (0.0000, 0.0000, 0.0000)  16 Rh 3.00-3.13
Rh (0.1254, 0.6249, 0.6249)  6 Rh 2.56
Rh (0.2500, 0.2500, 0.2500)  12 Rh 3.00, 4 Ag 3.13
Rh (0.6249, 0.1254, 0.6249)  6 Rh 2.56
Rh (0.6249, 0.6249, 0.1254)  6 Rh 2.56
Rh (0.6249, 0.6249, 0.6249)  6 Rh 2.56

Space-group type: No. 216
Volume: 15.79 Å³ per atom



No. 9
Crystalline Ag2Rh at its relaxed geometry. Source: the Alexandria database, functional PBE.

a = 10.6844 Å, b = 2.8268 Å, c = 6.8649 Å
α = 90.00°, β = 106.63°, γ = 90.00°
Last column: nearest neighbours and their distance in Å.
Sites, in units of the cell vectors:
Ag (0.0000, 0.0000, 0.0000)  7 Ag 2.81-2.88, 5 Rh 2.85-2.90
Ag (0.0473, 0.0000, 0.6100)  8 Ag 2.83-2.89, 4 Rh 2.94-2.95
Ag (0.1585, 0.5000, 0.3340)  8 Ag 2.81-2.88, 4 Rh 2.86-2.94
Ag (0.3248, 0.0000, 0.6672)  9 Ag 2.83-2.89, 3 Rh 2.88-2.98
Ag (0.5000, 0.5000, 0.0000)  7 Ag 2.81-2.88, 5 Rh 2.85-2.90
Ag (0.5473, 0.5000, 0.6100)  8 Ag 2.83-2.89, 4 Rh 2.94-2.95
Ag (0.6585, 0.0000, 0.3340)  8 Ag 2.81-2.88, 4 Rh 2.86-2.94
Ag (0.8248, 0.5000, 0.6672)  9 Ag 2.83-2.89, 3 Rh 2.88-2.98
Rh (0.2263, 0.5000, 0.9572)  4 Rh 2.64-2.83, 6 Ag 2.85-2.89
Rh (0.3738, 0.0000, 0.2612)  4 Rh 2.64-2.83, 7 Ag 2.86-2.94
Rh (0.7263, 0.0000, 0.9572)  4 Rh 2.64-2.83, 6 Ag 2.85-2.89
Rh (0.8738, 0.5000, 0.2612)  4 Rh 2.64-2.83, 7 Ag 2.86-2.94

Space-group type: No. 8
Volume: 16.56 Å³ per atom
Excess energy over the best structure of this formula in the dataset: 18.5 meV/atom



No. 10
Crystalline AgRh3 at its relaxed geometry. Source: the Alexandria database, functional PBE.

a = 9.1622 Å, b = 2.7601 Å, c = 4.8263 Å
α = 90.00°, β = 100.50°, γ = 90.00°
Last column: nearest neighbours and their distance in Å.
Sites, in units of the cell vectors:
Ag (0.0000, 0.0000, 0.0000)  10 Rh 2.76-2.82, 2 Ag 2.76
Ag (0.5000, 0.5000, 0.0000)  10 Rh 2.76-2.82, 2 Ag 2.76
Rh (0.0000, 0.5000, 0.5000)  8 Rh 2.69-2.80, 4 Ag 2.78
Rh (0.2430, 0.0000, 0.7372)  9 Rh 2.69-2.87, 3 Ag 2.76-2.82
Rh (0.2570, 0.5000, 0.2628)  9 Rh 2.69-2.87, 3 Ag 2.76-2.82
Rh (0.5000, 0.0000, 0.5000)  8 Rh 2.69-2.80, 4 Ag 2.78
Rh (0.7430, 0.5000, 0.7372)  9 Rh 2.69-2.87, 3 Ag 2.76-2.82
Rh (0.7570, 0.0000, 0.2628)  9 Rh 2.69-2.87, 3 Ag 2.76-2.82

Space-group type: No. 12
Volume: 15.00 Å³ per atom



No. 11
Crystalline AgRh3 at its relaxed geometry. Source: the Alexandria database, functional PBE.

a = 6.2448 Å, b = 6.2448 Å, c = 6.2448 Å
α = 90.00°, β = 90.00°, γ = 90.00°
Last column: nearest neighbours and their distance in Å.
Sites, in units of the cell vectors:
Ag (0.0000, 0.0000, 0.0000)  8 Rh 2.70
Ag (0.0000, 0.5000, 0.5000)  8 Rh 2.70
Ag (0.5000, 0.0000, 0.5000)  8 Rh 2.70
Ag (0.5000, 0.5000, 0.0000)  8 Rh 2.70
Rh (0.0000, 0.0000, 0.5000)  8 Rh 2.70
Rh (0.0000, 0.5000, 0.0000)  8 Rh 2.70
Rh (0.2500, 0.2500, 0.2500)  4 Rh 2.70, 4 Ag 2.70
Rh (0.2500, 0.2500, 0.7500)  4 Rh 2.70, 4 Ag 2.70
Rh (0.2500, 0.7500, 0.2500)  4 Rh 2.70, 4 Ag 2.70
Rh (0.2500, 0.7500, 0.7500)  4 Rh 2.70, 4 Ag 2.70
Rh (0.5000, 0.0000, 0.0000)  8 Rh 2.70
Rh (0.5000, 0.5000, 0.5000)  8 Rh 2.70
Rh (0.7500, 0.2500, 0.2500)  4 Rh 2.70, 4 Ag 2.70
Rh (0.7500, 0.2500, 0.7500)  4 Rh 2.70, 4 Ag 2.70
Rh (0.7500, 0.7500, 0.2500)  4 Rh 2.70, 4 Ag 2.70
Rh (0.7500, 0.7500, 0.7500)  4 Ag 2.70, 4 Rh 2.70

Space-group type: No. 225
Volume: 15.22 Å³ per atom



No. 12
Crystalline Ag4Rh at its relaxed geometry. Source: the Alexandria database, functional PBE.

a = 3.7312 Å, b = 3.7312 Å, c = 13.8095 Å
α = 90.00°, β = 90.00°, γ = 90.00°
Last column: nearest neighbours and their distance in Å.
Sites, in units of the cell vectors:
Ag (0.0000, 0.0000, 0.0952)  5 Ag 2.63-2.84
Ag (0.0000, 0.0000, 0.9048)  5 Ag 2.63-2.84
Ag (0.0000, 0.5000, 0.2500)  8 Ag 2.64-2.84
Ag (0.0000, 0.5000, 0.7500)  8 Ag 2.64-2.84
Ag (0.5000, 0.0000, 0.2500)  8 Ag 2.64-2.84
Ag (0.5000, 0.0000, 0.7500)  8 Ag 2.64-2.84
Ag (0.5000, 0.5000, 0.4048)  5 Ag 2.63-2.84
Ag (0.5000, 0.5000, 0.5952)  5 Ag 2.63-2.84
Rh (0.0000, 0.0000, 0.5000)  8 Ag 2.95
Rh (0.5000, 0.5000, 0.0000)  8 Ag 2.95

Space-group type: No. 139
Volume: 19.23 Å³ per atom
Excess energy over the best structure of this formula in the dataset: 401.4 meV/atom



| no. | formation energy (eV/atom) |
| --- | --- |
| 1 | 0.195 |
| 2 | 1.572 |
| 3 | -0.018 |
| 4 | 0.326 |
| 5 | 0.547 |
| 6 | 1.117 |
| 7 | 0.167 |
| 8 | 0.439 |
| 9 | 0.197 |
| 10 | 0.207 |
| 11 | 0.411 |
| 12 | 0.554 |